Entry 1:
AlGa3Fe | PBE | optimized geometry

Structure (CIF):
```
data_AlGa3Fe
_cell_length_a 4.608
_cell_length_b 4.608
_cell_length_c 4.608
_cell_angle_alpha 90.00
_cell_angle_beta 90.00
_cell_angle_gamma 90.00
_symmetry_space_group_name_H-M 'P m -3 m'
_symmetry_Int_Tables_number 221
_symmetry_space_group_name_Hall '-P 4 2 3'
loop_
_atom_site_label
_atom_site_fract_x
_atom_site_fract_y
_atom_site_fract_z
Al1 0.000 0.000 0.000
Ga1 0.000 0.500 0.500
Fe1 0.500 0.500 0.500
```

Results
ΔE to the lowest computed polymorph, eV per formula unit: 0.00
Energy of formation, eV per atom: 0.157
Total magnetization, μB/atom: 0.00
DOS(E_F), states/eV/f.u.: 2.59
Electronic total energy, eV/atom: -4.101

---

Entry 2:
Al6GaFe | PBE | optimized geometry

Structure (CIF):
```
data_Al6GaFe
_cell_length_a 8.9071
_cell_length_b 8.9071
_cell_length_c 5.6303
_cell_angle_alpha 90.00
_cell_angle_beta 90.00
_cell_angle_gamma 120.00
_symmetry_space_group_name_H-M 'R -3 m'
_symmetry_Int_Tables_number 166
_symmetry_space_group_name_Hall '-R 3 2"'
loop_
_atom_site_label
_atom_site_fract_x
_atom_site_fract_y
_atom_site_fract_z
Al1 0.0168 0.5084 0.2623
Ga1 0.0000 0.0000 0.0000
Fe1 0.0000 0.0000 0.5000
```

Results
Energy of formation, eV per atom: 0.069
Total magnetization, μB/atom: 0.12
DOS(E_F), states/eV/f.u.: 4.21
Electronic total energy, eV/atom: -4.174

---

Entry 3:
Al2Ga2Fe7 | PBE | optimized geometry

Structure (CIF):
```
data_Al2Ga2Fe7
_cell_length_a 6.780
_cell_length_b 7.437
_cell_length_c 5.982
_cell_angle_alpha 90.00
_cell_angle_beta 105.25
_cell_angle_gamma 90.00
_symmetry_space_group_name_H-M 'C 1 2/m 1'
_symmetry_Int_Tables_number 12
loop_
_symmetry_equiv_pos_as_xyz
'x,y,z'
'-x,-y,-z'
'-x,y,-z'
'x,-y,z'
'x+1/2,y+1/2,z'
'-x+1/2,-y+1/2,-z'
'-x+1/2,y+1/2,-z'
'x+1/2,-y+1/2,z'
loop_
_atom_site_label
_atom_site_fract_x
_atom_site_fract_y
_atom_site_fract_z
Al1 0.000 0.188 0.000
Ga1 0.115 0.500 0.360
Fe1 0.000 0.000 0.500
Fe2 0.178 0.276 0.683
Fe3 0.193 0.500 0.994
```

Results
ΔE to the lowest computed polymorph, eV per formula unit: 0.87
Energy of formation, eV per atom: 0.034
Total magnetization, μB/atom: 1.47
DOS(E_F), states/eV/f.u.: 7.90
Electronic total energy, eV/atom: -6.582

---

Entry 4:
AlGaFe2 | PBE | optimized geometry

Structure (CIF):
```
data_AlGaFe2
_cell_length_a 6.585
_cell_length_b 6.585
_cell_length_c 5.171
_cell_angle_alpha 90.00
_cell_angle_beta 90.00
_cell_angle_gamma 90.00
_symmetry_space_group_name_H-M 'I -4 2 d'
_symmetry_Int_Tables_number 122
_symmetry_space_group_name_Hall 'I -4 2bw'
loop_
_atom_site_label
_atom_site_fract_x
_atom_site_fract_y
_atom_site_fract_z
Al1 0.000 0.000 0.000
Ga1 0.000 0.000 0.500
Fe1 0.248 0.750 0.625
```

Results
ΔE to the lowest computed polymorph, eV per formula unit: 1.78
Energy of formation, eV per atom: 0.249
Total magnetization, μB/atom: 1.05
DOS(E_F), states/eV/f.u.: 3.64
Electronic total energy, eV/atom: -5.675

---

What is the formula in the fourth record? AlGaFe2

---

Please write out number 4 again, unchanged.
AlGaFe2 | PBE | optimized geometry

Structure (CIF):
```
data_AlGaFe2
_cell_length_a 6.585
_cell_length_b 6.585
_cell_length_c 5.171
_cell_angle_alpha 90.00
_cell_angle_beta 90.00
_cell_angle_gamma 90.00
_symmetry_space_group_name_H-M 'I -4 2 d'
_symmetry_Int_Tables_number 122
_symmetry_space_group_name_Hall 'I -4 2bw'
loop_
_atom_site_label
_atom_site_fract_x
_atom_site_fract_y
_atom_site_fract_z
Al1 0.000 0.000 0.000
Ga1 0.000 0.000 0.500
Fe1 0.248 0.750 0.625
```

Results
ΔE to the lowest computed polymorph, eV per formula unit: 1.78
Energy of formation, eV per atom: 0.249
Total magnetization, μB/atom: 1.05
DOS(E_F), states/eV/f.u.: 3.64
Electronic total energy, eV/atom: -5.675